Record 1
Entry from Alexandria via LeMat-Bulk: a relaxed HoBe17Cr crystal (PBE-GGA).

abc: 7.4889 7.4889 10.8998
angles: 90.00 90.00 120.00
Space group R3m (No. 160, hexagonal axes)
Unique sites:
Ho 0.0000 0.0000 0.0000 x3
Be 0.0000 0.0000 0.5576 x3
Be 0.0000 0.0000 0.7524 x3
Be 0.0456 0.3727 0.3263 x18
Be 0.1675 0.3351 0.4929 x9
Be 0.1704 0.3409 0.8375 x9
Be 0.1714 0.3427 0.1483 x9
Cr 0.0000 0.0000 0.3289 x3

Summary:
Energy of formation from the pure elements, eV per atom: -0.07
DFT total energy, eV/atom: -4.150


Record 2
Entry from Alexandria via LeMat-Bulk: a relaxed SrNdZn4 crystal (PBE-GGA).

abc: 8.0323 8.0323 8.0323
angles: 90.00 90.00 90.00
Space group F-43m (No. 216)
Unique sites:
Sr 0.0000 0.0000 0.0000 x4
Nd 0.2500 0.2500 0.7500 x4
Zn 0.1227 0.1227 0.3773 x16

Summary:
Energy of formation from the pure elements, eV per atom: -0.21
Excess energy over the best structure of this formula in the dataset, meV/atom: 59
DFT total energy, eV/atom: -2.139